Below is a relaxed Mn2PtCl crystal, with properties calculated at the PBE-GGA level.

ρ (g/cm3): 7.62
DOS at the Fermi energy (states/eV/atom): 0.7484
Final energy (Ha/atom): -0.23965
Excess energy over the best structure of this formula in the dataset (meV/atom): 202
Formation energy without anion corrections (eV/atom): 0.035

Lattice parameters (Å, degrees): 3.290 3.290 6.851 90.00 90.00 90.00
Each line ends with the local moment (μB).
Fractional positions:
Mn 0.000 0.000 0.011  3.88
Mn 0.500 0.500 0.245  3.57
Pt 0.000 0.000 0.402  0.37
Cl 0.500 0.500 0.842  0.11